## a
SmEu2Er after structural relaxation, computed with GGA-PBE.

Properties
Its space-group type is P4/mmm. The calculation puts the density of states at the Fermi level at 5.9 states/eV per cell.

The structure in POSCAR format:
```
SmEu2Er
1.0
5.918 0.000 0.000
0.000 5.918 0.000
0.000 0.000 4.075
Sm Eu Er
1 2 1
Direct
0.000 0.000 0.000
0.000 0.500 0.500
0.500 0.000 0.500
0.500 0.500 0.000
```



## b
SmEu2Er after structural relaxation, computed with GGA-PBE.

Properties
Its space-group type is R-3m. The calculation puts the density of states at the Fermi level at 5.8 states/eV per cell.

The structure in POSCAR format:
```
SmEu2Er
1.0
1.791 1.034 12.940
-1.791 1.034 12.940
0.000 -2.068 12.940
Sm Eu Er
1 2 1
Direct
0.000 0.000 0.000
0.414 0.414 0.414
0.586 0.586 0.586
0.500 0.500 0.500
```



Stability verdict: a, ahead by 70 meV per atom



## a
SmEu2Er after structural relaxation, computed with GGA-PBE.

Properties
Its space-group type is P4/mmm. The calculation puts the density of states at the Fermi level at 4.4 states/eV per cell.

The structure in POSCAR format:
```
SmEu2Er
1.0
3.660 0.000 0.000
0.000 3.660 0.000
0.000 0.000 10.617
Sm Eu Er
1 2 1
Direct
0.000 0.000 0.000
0.500 0.500 0.254
0.500 0.500 0.746
0.000 0.000 0.500
```



## b
SmEu2Er after structural relaxation, computed with GGA-PBE.

Properties
Its space-group type is Fm-3m. The calculation puts the density of states at the Fermi level at 5.2 states/eV per cell.

The structure in POSCAR format:
```
SmEu2Er
1.0
0.000 4.147 4.147
4.147 0.000 4.147
4.147 4.147 0.000
Sm Eu Er
1 2 1
Direct
0.000 0.000 0.000
0.250 0.250 0.250
0.750 0.750 0.750
0.500 0.500 0.500
```



Stability verdict: a, ahead by 48 meV per atom



## a
SmEuEr2 after structural relaxation, computed with GGA-PBE.

Properties
Its space-group type is P4/mmm. The calculation puts the density of states at the Fermi level at 5.8 states/eV per cell.

The structure in POSCAR format:
```
SmEuEr2
1.0
3.622 0.000 0.000
0.000 3.622 0.000
0.000 0.000 10.241
Sm Eu Er
1 1 2
Direct
0.000 0.000 0.000
0.000 0.000 0.500
0.500 0.500 0.237
0.500 0.500 0.763
```



## b
SmEuEr2 after structural relaxation, computed with GGA-PBE.

Properties
Its space-group type is Fm-3m. The calculation puts the density of states at the Fermi level at 7.0 states/eV per cell.

The structure in POSCAR format:
```
SmEuEr2
1.0
0.000 4.057 4.057
4.057 0.000 4.057
4.057 4.057 0.000
Sm Eu Er
1 1 2
Direct
0.000 0.000 0.000
0.500 0.500 0.500
0.250 0.250 0.250
0.750 0.750 0.750
```



## c
SmEuEr2 after structural relaxation, computed with GGA-PBE.

Properties
Its space-group type is P4/mmm. The calculation puts the density of states at the Fermi level at 5.9 states/eV per cell.

The structure in POSCAR format:
```
SmEuEr2
1.0
5.100 0.000 0.000
0.000 5.100 0.000
0.000 0.000 5.080
Sm Eu Er
1 1 2
Direct
0.000 0.000 0.000
0.500 0.500 0.000
0.000 0.500 0.500
0.500 0.000 0.500
```



Stability verdict: a, ahead by 24 meV per atom



## a
SrEu2Er after structural relaxation, computed with GGA-PBE.

Properties
Its space-group type is R-3m. The calculation puts the density of states at the Fermi level at 4.0 states/eV per cell.

The structure in POSCAR format:
```
SrEu2Er
1.0
1.925 1.112 12.739
-1.925 1.112 12.739
0.000 -2.223 12.739
Sr Eu Er
1 2 1
Direct
0.000 0.000 0.000
0.244 0.244 0.244
0.756 0.756 0.756
0.500 0.500 0.500
```



## b
SrEu2Er after structural relaxation, computed with GGA-PBE.

Properties
Its space-group type is Fm-3m. The calculation puts the density of states at the Fermi level at 3.6 states/eV per cell.

The structure in POSCAR format:
```
SrEu2Er
1.0
0.000 4.322 4.322
4.322 0.000 4.322
4.322 4.322 0.000
Sr Eu Er
1 2 1
Direct
0.000 0.000 0.000
0.250 0.250 0.250
0.750 0.750 0.750
0.500 0.500 0.500
```



Stability verdict: a, ahead by 55 meV per atom



## a
SrEu2Er after structural relaxation, computed with GGA-PBE.

Properties
Its space-group type is P4/mmm. The calculation puts the density of states at the Fermi level at 3.7 states/eV per cell.

The structure in POSCAR format:
```
SrEu2Er
1.0
6.146 0.000 0.000
0.000 6.146 0.000
0.000 0.000 4.268
Sr Eu Er
1 2 1
Direct
0.000 0.000 0.000
0.000 0.500 0.500
0.500 0.000 0.500
0.500 0.500 0.000
```



## b
SrEu2Er after structural relaxation, computed with GGA-PBE.

Properties
Its space-group type is P4/mmm. The calculation puts the density of states at the Fermi level at 3.3 states/eV per cell.

The structure in POSCAR format:
```
SrEu2Er
1.0
4.121 0.000 0.000
0.000 4.121 0.000
0.000 0.000 9.737
Sr Eu Er
1 2 1
Direct
0.000 0.000 0.000
0.500 0.500 0.286
0.500 0.500 0.714
0.000 0.000 0.500
```



Stability verdict: b, ahead by 60 meV per atom



## a
TbEu2Er after structural relaxation, computed with GGA-PBE.

Properties
Its space-group type is P4/mmm. The calculation puts the density of states at the Fermi level at 6.0 states/eV per cell.

The structure in POSCAR format:
```
TbEu2Er
1.0
5.841 0.000 0.000
0.000 5.841 0.000
0.000 0.000 4.118
Tb Eu Er
1 2 1
Direct
0.000 0.000 0.000
0.000 0.500 0.500
0.500 0.000 0.500
0.500 0.500 0.000
```



## b
TbEu2Er after structural relaxation, computed with GGA-PBE.

Properties
Its space-group type is R-3m. The calculation puts the density of states at the Fermi level at 6.1 states/eV per cell.

The structure in POSCAR format:
```
TbEu2Er
1.0
1.784 1.030 12.864
-1.784 1.030 12.864
0.000 -2.060 12.864
Tb Eu Er
1 2 1
Direct
0.000 0.000 0.000
0.413 0.413 0.413
0.587 0.587 0.587
0.500 0.500 0.500
```



## c
TbEu2Er after structural relaxation, computed with GGA-PBE.

Properties
Its space-group type is P4/mmm. The calculation puts the density of states at the Fermi level at 4.9 states/eV per cell.

The structure in POSCAR format:
```
TbEu2Er
1.0
3.651 0.000 0.000
0.000 3.651 0.000
0.000 0.000 10.494
Tb Eu Er
1 2 1
Direct
0.000 0.000 0.000
0.500 0.500 0.252
0.500 0.500 0.748
0.000 0.000 0.500
```



Stability verdict: c, ahead by 48 meV per atom